(1)
Material: Mn2CoRu
Method: DFT, PBE-GGA
State: relaxed

```
4
Lattice="2.904 0.000 0.000 0.000 2.904 0.000 0.000 0.000 5.972" Properties=species:S:1:pos:R:3 pbc="T T T"
Mn 0.000 0.000 1.413
Mn 0.000 0.000 4.560
Co 1.452 1.452 0.000
Ru 1.452 1.452 2.986
```

Computed properties:
The calculation puts the total energy at -34.72 eV per cell. Its formation energy is 0.00 eV/atom. The calculation puts the density of states at the Fermi level at 0.646 states/eV per atom.

***

(2)
Material: Mn2CoRu
Method: DFT, PBE-GGA
State: relaxed

```
4
Lattice="1.291 0.746 8.126 -1.291 0.746 8.126 0.000 -1.491 8.126" Properties=species:S:1:pos:R:3 pbc="T T T"
Mn 0.000 0.000 0.000
Mn 0.000 0.000 4.165
Co 0.000 0.000 14.243
Ru 0.000 0.000 10.256
```

Computed properties:
The calculation puts the total energy at -34.17 eV per cell. Its formation energy is 0.14 eV/atom. The calculation puts the density of states at the Fermi level at 1.339 states/eV per atom.

***

(3)
Material: MnCoRu2
Method: DFT, PBE-GGA
State: relaxed

```
4
Lattice="4.474 0.000 0.000 0.000 2.645 0.000 -1.549 0.000 4.304" Properties=species:S:1:pos:R:3 pbc="T T T"
Mn 0.000 0.000 0.000
Co -0.775 1.322 2.152
Ru 1.462 0.000 2.152
Ru 2.237 1.322 0.000
```

Computed properties:
The calculation puts the total energy at -34.37 eV per cell. Its formation energy is 0.11 eV/atom. The calculation puts the density of states at the Fermi level at 1.096 states/eV per atom.

***

(4)
Material: Mn2CoRu
Method: DFT, PBE-GGA
State: relaxed

```
4
Lattice="-1.813 1.813 3.664 1.813 -1.813 3.664 1.813 1.813 -3.664" Properties=species:S:1:pos:R:3 pbc="T T T"
Mn 0.000 0.000 0.000
Mn 0.000 1.813 1.832
Co 0.000 0.000 3.664
Ru 1.813 0.000 1.832
```

Computed properties:
The calculation puts the total energy at -34.70 eV per cell. Its formation energy is 0.01 eV/atom. The calculation puts the density of states at the Fermi level at 0.910 states/eV per atom.

***

(5)
Material: Mn3CoRu
Method: DFT, PBE-GGA
State: relaxed

```
10
Lattice="2.351 -5.650 0.000 2.351 5.650 0.000 -1.922 0.000 4.276" Properties=species:S:1:pos:R:3 pbc="T T T"
Mn 0.910 3.999 3.207
Mn 1.165 0.422 0.018
Mn 0.204 -0.422 2.156
Mn 2.576 0.422 2.120
Mn 1.615 -0.422 4.258
Mn 1.871 -3.999 1.069
Co 0.910 1.686 3.207
Co 1.871 -1.686 1.069
Ru 1.871 2.836 1.069
Ru 0.910 -2.836 3.207
```

Computed properties:
The calculation puts the total energy at -86.93 eV per cell. Its formation energy is 0.09 eV/atom. The calculation puts the density of states at the Fermi level at 1.407 states/eV per atom.

***

(6)
Material: MnCoRu2
Method: DFT, PBE-GGA
State: relaxed

```
4
Lattice="1.399 -2.225 0.000 1.399 2.225 0.000 0.000 0.000 8.549" Properties=species:S:1:pos:R:3 pbc="T T T"
Mn 0.000 0.000 0.000
Co 1.399 0.000 1.989
Ru 0.000 0.000 4.126
Ru 1.399 0.000 6.416
```

Computed properties:
The calculation puts the total energy at -33.47 eV per cell. Its formation energy is 0.34 eV/atom. The calculation puts the density of states at the Fermi level at 1.399 states/eV per atom.

***

(7)
Material: MnCoRu2
Method: DFT, PBE-GGA
State: relaxed

```
4
Lattice="2.629 0.000 0.000 0.000 2.629 0.000 0.000 0.000 7.248" Properties=species:S:1:pos:R:3 pbc="T T T"
Mn 0.000 0.000 0.000
Co 0.000 0.000 3.624
Ru 1.314 1.314 1.813
Ru 1.314 1.314 5.435
```

Computed properties:
The calculation puts the total energy at -34.31 eV per cell. Its formation energy is 0.13 eV/atom. The calculation puts the density of states at the Fermi level at 1.264 states/eV per atom.

***

(8)
Material: Mn4Co2Ru
Method: DFT, PBE-GGA
State: relaxed

```
14
Lattice="3.448 -5.583 0.000 3.448 5.583 0.000 -2.016 0.000 4.357" Properties=species:S:1:pos:R:3 pbc="T T T"
Mn 2.440 5.450 2.178
Mn 1.887 3.145 2.985
Mn 2.137 1.563 0.671
Mn 3.644 3.338 0.966
Mn 1.129 -1.563 2.850
Mn 2.894 -3.145 0.806
Mn 2.636 -3.338 3.144
Mn 3.448 -5.450 0.000
Co 1.076 0.804 2.452
Co 2.084 -0.804 0.274
Co 3.839 1.638 2.689
Co 4.847 -1.638 0.511
Ru 4.366 0.789 0.268
Ru 3.358 -0.789 2.446
```

Computed properties:
The calculation puts the total energy at -118.07 eV per cell. Its formation energy is 0.16 eV/atom. The calculation puts the density of states at the Fermi level at 1.293 states/eV per atom.

***

(9)
Material: MnCoRu2
Method: DFT, PBE-GGA
State: relaxed

```
8
Lattice="-2.605 2.605 5.161 2.605 -2.605 5.161 2.605 2.605 -5.161" Properties=species:S:1:pos:R:3 pbc="T T T"
Mn 0.000 0.000 0.000
Mn 0.000 2.605 2.581
Co 2.605 0.000 2.581
Co 0.000 0.000 5.161
Ru 3.907 1.295 -1.290
Ru 1.295 1.302 1.290
Ru -1.302 1.310 3.871
Ru 1.310 1.302 6.452
```

Computed properties:
The calculation puts the total energy at -60.33 eV per cell. Its formation energy is 1.17 eV/atom. The calculation puts the density of states at the Fermi level at 1.272 states/eV per atom.

***

(10)
Material: Mn2CoRu
Method: DFT, PBE-GGA
State: relaxed

```
4
Lattice="2.548 -3.582 0.000 2.548 3.582 0.000 0.000 0.000 2.582" Properties=species:S:1:pos:R:3 pbc="T T T"
Mn 1.274 1.791 0.000
Mn 1.274 -1.791 0.000
Co 0.000 0.000 1.291
Ru 2.548 0.000 1.291
```

Computed properties:
The calculation puts the total energy at -34.29 eV per cell. Its formation energy is 0.11 eV/atom. The calculation puts the density of states at the Fermi level at 1.257 states/eV per atom.

***

(11)
Material: MnCoRu2
Method: DFT, PBE-GGA
State: relaxed

```
4
Lattice="-1.461 2.106 4.201 1.461 -2.106 4.201 1.461 2.106 -4.201" Properties=species:S:1:pos:R:3 pbc="T T T"
Mn 0.000 0.000 0.000
Co 0.000 2.106 2.294
Ru 1.461 0.000 2.093
Ru 0.000 0.000 4.347
```

Computed properties:
The calculation puts the total energy at -34.12 eV per cell. Its formation energy is 0.18 eV/atom. The calculation puts the density of states at the Fermi level at 1.294 states/eV per atom.

***

(12)
Material: MnCoRu2
Method: DFT, PBE-GGA
State: relaxed

```
4
Lattice="4.267 -1.321 0.000 4.267 1.321 0.000 -0.824 0.000 4.525" Properties=species:S:1:pos:R:3 pbc="T T T"
Mn 0.000 0.000 0.000
Co 3.855 0.000 2.262
Ru 1.518 0.000 3.378
Ru 6.191 0.000 1.147
```

Computed properties:
The calculation puts the total energy at -34.30 eV per cell. Its formation energy is 0.13 eV/atom. The calculation puts the density of states at the Fermi level at 1.175 states/eV per atom.